Entry 1:
Material: KScSn
Method: DFT, PBE-GGA
State: optimized geometry

For the energy above the lowest structure with this stoichiometry, the calculation gives 465 meV per atom. For the total energy, the calculation gives -0.2728 Ry/atom.

The structure in CIF format:
```
data_KScSn
_chemical_formula_sum 'K4 Sc4 Sn4'
_symmetry_space_group_name_H-M 'F -4 3 m'
_symmetry_Int_Tables_number 216
_symmetry_space_group_name_Hall 'F -4 2 3'
_cell_length_a 7.4858
_cell_length_b 7.4858
_cell_length_c 7.4858
_cell_angle_alpha 90.00
_cell_angle_beta 90.00
_cell_angle_gamma 90.00
loop_
_atom_site_label
_atom_site_type_symbol
_atom_site_fract_x
_atom_site_fract_y
_atom_site_fract_z
K1 K 0.0000 0.0000 0.0000
Sc1 Sc 0.0000 0.0000 0.5000
Sn1 Sn 0.2500 0.2500 0.7500
```

---

Entry 2:
Material: KScSn
Method: DFT, PBE-GGA
State: optimized geometry

For the energy above the lowest structure with this stoichiometry, the calculation gives 329 meV per atom. For the total energy, the calculation gives -0.2828 Ry/atom.

The structure in CIF format:
```
data_KScSn
_chemical_formula_sum 'K4 Sc4 Sn4'
_symmetry_space_group_name_H-M 'P n m a'
_symmetry_Int_Tables_number 62
_cell_length_a 7.2489
_cell_length_b 5.0191
_cell_length_c 10.0367
_cell_angle_alpha 90.00
_cell_angle_beta 90.00
_cell_angle_gamma 90.00
loop_
_symmetry_equiv_pos_as_xyz
'x,y,z'
'-x,-y,-z'
'-x+1/2,-y,z+1/2'
'x+1/2,y,-z+1/2'
'x+1/2,-y+1/2,-z+1/2'
'-x+1/2,y+1/2,z+1/2'
'-x,y+1/2,-z'
'x,-y+1/2,z'
loop_
_atom_site_label
_atom_site_type_symbol
_atom_site_fract_x
_atom_site_fract_y
_atom_site_fract_z
K1 K 0.1332 0.2500 0.0422
Sc1 Sc 0.0629 0.2500 0.6642
Sn1 Sn 0.1536 0.2500 0.3690
```

---

Entry 3:
Material: KSc2Sn2
Method: DFT, PBE-GGA
State: optimized geometry

For the energy above the lowest structure with this stoichiometry, the calculation gives 333 meV per atom. For the total energy, the calculation gives -0.3256 Ry/atom.

The structure in CIF format:
```
data_KSc2Sn2
_chemical_formula_sum 'K2 Sc4 Sn4'
_symmetry_space_group_name_H-M 'I 4/m m m'
_symmetry_Int_Tables_number 139
_symmetry_space_group_name_Hall '-I 4 2'
_cell_length_a 5.4494
_cell_length_b 5.4494
_cell_length_c 11.1594
_cell_angle_alpha 90.00
_cell_angle_beta 90.00
_cell_angle_gamma 90.00
loop_
_atom_site_label
_atom_site_type_symbol
_atom_site_fract_x
_atom_site_fract_y
_atom_site_fract_z
K1 K 0.0000 0.0000 0.0000
Sc1 Sc 0.0000 0.0000 0.3377
Sn1 Sn 0.0000 0.5000 0.2500
```

---

Entry 4:
Material: KScSnTe3
Method: DFT, PBE-GGA
State: optimized geometry

Its energy relative to the elements, uncorrected is -87.9 kJ per mole of atoms. For the total energy, the calculation gives -0.3225 Ry/atom.

The structure in CIF format:
```
data_KScSnTe3
_chemical_formula_sum 'K2 Sc2 Sn2 Te6'
_symmetry_space_group_name_H-M 'P 1 21/m 1'
_symmetry_Int_Tables_number 11
_cell_length_a 9.1879
_cell_length_b 4.3215
_cell_length_c 11.4963
_cell_angle_alpha 90.00
_cell_angle_beta 108.72
_cell_angle_gamma 90.00
loop_
_symmetry_equiv_pos_as_xyz
'x,y,z'
'-x,-y,-z'
'-x,y+1/2,-z'
'x,-y+1/2,z'
loop_
_atom_site_label
_atom_site_type_symbol
_atom_site_fract_x
_atom_site_fract_y
_atom_site_fract_z
K1 K 0.2119 0.2500 0.2556
Sc1 Sc 0.3702 0.7500 0.8473
Sn1 Sn 0.1346 0.2500 0.5574
Te1 Te 0.1294 0.2500 0.8050
Te2 Te 0.3631 0.7500 0.5841
Te3 Te 0.4004 0.7500 0.1071
```

---

Entry 5:
Material: K3Sc2SnTe6
Method: DFT, PBE-GGA
State: optimized geometry

Its energy relative to the elements, uncorrected is -97.8 kJ per mole of atoms. For the total energy, the calculation gives -0.3122 Ry/atom.

The structure in CIF format:
```
data_K3Sc2SnTe6
_chemical_formula_sum 'K6 Sc4 Sn2 Te12'
_symmetry_space_group_name_H-M 'C 1 2/m 1'
_symmetry_Int_Tables_number 12
_cell_length_a 7.5899
_cell_length_b 13.1542
_cell_length_c 8.5766
_cell_angle_alpha 90.00
_cell_angle_beta 107.18
_cell_angle_gamma 90.00
loop_
_symmetry_equiv_pos_as_xyz
'x,y,z'
'-x,-y,-z'
'-x,y,-z'
'x,-y,z'
'x+1/2,y+1/2,z'
'-x+1/2,-y+1/2,-z'
'-x+1/2,y+1/2,-z'
'x+1/2,-y+1/2,z'
loop_
_atom_site_label
_atom_site_type_symbol
_atom_site_fract_x
_atom_site_fract_y
_atom_site_fract_z
K1 K 0.0000 0.0000 0.0000
K2 K 0.0000 0.3367 0.0000
Sc1 Sc 0.0000 0.1672 0.5000
Sn1 Sn 0.0000 0.5000 0.5000
Te1 Te 0.2215 0.0000 0.6980
Te2 Te 0.2387 0.3279 0.6991
```

---

Entry 6:
Material: K2ScSnTe4
Method: DFT, PBE-GGA
State: optimized geometry

Its energy relative to the elements, uncorrected is -87.1 kJ per mole of atoms. For the total energy, the calculation gives -0.2969 Ry/atom.

The structure in CIF format:
```
data_K2ScSnTe4
_chemical_formula_sum 'K2 Sc1 Sn1 Te4'
_symmetry_space_group_name_H-M 'P 1 2/m 1'
_symmetry_Int_Tables_number 10
_cell_length_a 7.7037
_cell_length_b 4.3591
_cell_length_c 8.6028
_cell_angle_alpha 90.00
_cell_angle_beta 106.68
_cell_angle_gamma 90.00
loop_
_symmetry_equiv_pos_as_xyz
'x,y,z'
'-x,-y,-z'
'-x,y,-z'
'x,-y,z'
loop_
_atom_site_label
_atom_site_type_symbol
_atom_site_fract_x
_atom_site_fract_y
_atom_site_fract_z
K1 K 0.0000 0.0000 0.0000
K2 K 0.5000 0.5000 0.0000
Sc1 Sc 0.0000 0.5000 0.5000
Sn1 Sn 0.5000 0.0000 0.5000
Te1 Te 0.2227 0.0000 0.6975
Te2 Te 0.2523 0.5000 0.2986
```

---

Entry 7:
Material: KSr2Sc
Method: DFT, PBE-GGA
State: optimized geometry

For the energy above the lowest structure with this stoichiometry, the calculation gives 198 meV per atom. For the total energy, the calculation gives -0.1649 Ry/atom.

The structure in CIF format:
```
data_KSr2Sc
_chemical_formula_sum 'K2 Sr4 Sc2'
_symmetry_space_group_name_H-M 'I -4 m 2'
_symmetry_Int_Tables_number 119
_symmetry_space_group_name_Hall 'I -4 -2'
_cell_length_a 5.5353
_cell_length_b 5.5353
_cell_length_c 12.1046
_cell_angle_alpha 90.00
_cell_angle_beta 90.00
_cell_angle_gamma 90.00
loop_
_atom_site_label
_atom_site_type_symbol
_atom_site_fract_x
_atom_site_fract_y
_atom_site_fract_z
K1 K 0.0000 0.0000 0.0000
Sr1 Sr 0.0000 0.0000 0.5000
Sr2 Sr 0.0000 0.5000 0.2500
Sc1 Sc 0.0000 0.5000 0.7500
```

---

Entry 8:
Material: KSrSc2
Method: DFT, PBE-GGA
State: optimized geometry

For the energy above the lowest structure with this stoichiometry, the calculation gives 398 meV per atom. For the total energy, the calculation gives -0.2318 Ry/atom.

The structure in CIF format:
```
data_KSrSc2
_chemical_formula_sum 'K1 Sr1 Sc2'
_symmetry_space_group_name_H-M 'P 4/m m m'
_symmetry_Int_Tables_number 123
_symmetry_space_group_name_Hall '-P 4 2'
_cell_length_a 6.2440
_cell_length_b 6.2440
_cell_length_c 3.8231
_cell_angle_alpha 90.00
_cell_angle_beta 90.00
_cell_angle_gamma 90.00
loop_
_atom_site_label
_atom_site_type_symbol
_atom_site_fract_x
_atom_site_fract_y
_atom_site_fract_z
K1 K 0.0000 0.0000 0.0000
Sr1 Sr 0.5000 0.5000 0.0000
Sc1 Sc 0.0000 0.5000 0.5000
```